VASP calculation (PBE) on crystalline KSb2Te2Se at its relaxed geometry.

Cell and atoms, written as extended XYZ:
```
12
Lattice="7.025 0.000 0.000 0.000 8.217 -0.994 0.000 -4.520 9.146" Properties=species:S:1:pos:R:3 pbc="T T T"
Te 1.756 2.292 5.403
Se 1.756 -1.872 7.847
Se 5.269 5.568 0.305
Sb 3.533 4.346 6.530
K 1.756 3.332 1.999
Sb 0.020 -0.649 1.622
Sb 7.005 4.346 6.530
K 5.269 0.364 6.153
Sb 3.492 -0.649 1.622
Te 1.756 -1.394 3.788
Te 5.269 5.090 4.364
Te 5.269 1.404 2.749
```

Computed properties:
Density, g/cm³: 4.1
Magnetic moment, μB/cell: 0.0
Energy relative to the elements, uncorrected, eV per formula unit: -1.58